[1]
First-principles (PBE-GGA) data for Sm4GaAg2Au after structural relaxation, as listed in Alexandria via LeMat-Bulk.

Geometry as POSCAR:
```
Sm4GaAg2Au
1.0
5.207 0.000 0.000
2.603 4.509 0.000
2.603 1.503 8.543
Sm Ga Ag Au
4 1 2 1
Direct
0.376 0.376 0.871
0.874 0.874 0.377
0.126 0.126 0.623
0.624 0.624 0.129
0.000 0.000 0.000
0.746 0.746 0.762
0.254 0.254 0.238
0.500 0.500 0.500
```

Values from the calculation:
- density (g cm⁻³) = 8.973
- energy (eV for the cell shown) = -34.77
- total magnetic moment (Bohr magnetons per cell) = 0.00
- calculated formation energy (eV/atom) = -0.486
- crystal system = trigonal
- Fermi-level density of states (states/eV/f.u.) = 6.523

=====

[2]
First-principles (PBE-GGA) data for Sm2Ga4AgAu3 after structural relaxation, as listed in Alexandria via LeMat-Bulk.

Geometry as POSCAR:
```
Sm2Ga4AgAu3
1.0
-1.778 3.981 -0.436
-3.243 -1.711 -2.398
-5.731 -1.586 8.884
Sm Ga Ag Au
2 4 1 3
Direct
0.500 0.000 0.250
0.000 0.500 0.750
0.500 0.500 0.000
0.000 0.000 0.000
0.500 0.000 0.634
0.000 0.500 0.366
0.500 0.500 0.500
0.000 0.000 0.500
0.500 0.000 0.867
0.000 0.500 0.133
```

Values from the calculation:
- density (g cm⁻³) = 10.345
- energy (eV for the cell shown) = -40.01
- total magnetic moment (Bohr magnetons per cell) = 0.00
- calculated formation energy (eV/atom) = -0.578
- crystal system = tetragonal
- Fermi-level density of states (states/eV/f.u.) = 4.665

=====

[3]
First-principles (PBE-GGA) data for Sm2Ga3AgAu4 after structural relaxation, as listed in Alexandria via LeMat-Bulk.

Geometry as POSCAR:
```
Sm2Ga3AgAu4
1.0
4.294 0.000 0.000
0.000 4.294 0.000
0.000 0.000 11.379
Sm Ga Ag Au
2 3 1 4
Direct
0.500 0.000 0.240
0.000 0.500 0.760
0.000 0.000 0.500
0.500 0.000 0.871
0.000 0.500 0.129
0.500 0.500 0.500
0.500 0.500 0.000
0.000 0.000 0.000
0.500 0.000 0.652
0.000 0.500 0.348
```

Values from the calculation:
- density (g cm⁻³) = 11.126
- energy (eV for the cell shown) = -39.98
- total magnetic moment (Bohr magnetons per cell) = 0.00
- calculated formation energy (eV/atom) = -0.550
- crystal system = tetragonal
- Fermi-level density of states (states/eV/f.u.) = 3.868

=====

[4]
First-principles (PBE-GGA) data for SmGa2AgAu2 after structural relaxation, as listed in Alexandria via LeMat-Bulk.

Geometry as POSCAR:
```
SmGa2AgAu2
1.0
4.536 0.000 0.000
-2.268 3.928 0.000
0.000 0.000 6.716
Sm Ga Ag Au
1 2 1 2
Direct
0.000 0.000 0.000
0.667 0.333 0.715
0.333 0.667 0.285
0.000 0.000 0.500
0.667 0.333 0.275
0.333 0.667 0.725
```

Values from the calculation:
- density (g cm⁻³) = 10.985
- energy (eV for the cell shown) = -23.19
- total magnetic moment (Bohr magnetons per cell) = 0.00
- calculated formation energy (eV/atom) = -0.502
- crystal system = trigonal
- Fermi-level density of states (states/eV/f.u.) = 2.842

=====

[5]
First-principles (PBE-GGA) data for GaAgSnAu after structural relaxation, as listed in Alexandria via LeMat-Bulk.

Geometry as POSCAR:
```
GaAgSnAu
1.0
4.866 0.000 0.000
2.433 4.214 0.000
2.433 1.405 3.973
Ga Au Sn Ag
1 1 1 1
Direct
0.250 0.250 0.250
0.500 0.500 0.500
0.750 0.750 0.750
0.000 0.000 0.000
```

Values from the calculation:
- density (g cm⁻³) = 10.057
- energy (eV for the cell shown) = -13.09
- total magnetic moment (Bohr magnetons per cell) = 0.00
- calculated formation energy (eV/atom) = 0.017
- crystal system = cubic
- Fermi-level density of states (states/eV/f.u.) = 1.377

=====

[6]
First-principles (PBE-GGA) data for Ga2AgSn2Au7 after structural relaxation, as listed in Alexandria via LeMat-Bulk.

Geometry as POSCAR:
```
Ga2AgSn2Au7
1.0
4.111 -0.027 -0.253
-0.022 4.111 -0.253
1.093 1.092 14.736
Ga Ag Sn Au
2 1 2 7
Direct
0.516 0.516 0.742
0.484 0.484 0.258
0.000 0.000 0.000
0.853 0.853 0.398
0.147 0.147 0.602
0.500 0.500 0.000
0.339 0.339 0.423
0.661 0.661 0.577
0.992 0.494 0.146
0.494 0.992 0.146
0.506 0.008 0.854
0.008 0.506 0.854
```

Values from the calculation:
- density (g cm⁻³) = 12.314
- energy (eV for the cell shown) = -40.69
- total magnetic moment (Bohr magnetons per cell) = 0.00
- calculated formation energy (eV/atom) = -0.070
- crystal system = monoclinic
- Fermi-level density of states (states/eV/f.u.) = 3.407

=====

[7]
First-principles (PBE-GGA) data for SrGaAgAu2 after structural relaxation, as listed in Alexandria via LeMat-Bulk.

Geometry as POSCAR:
```
SrGaAgAu2
1.0
4.988 0.000 0.000
0.000 4.988 0.000
0.000 0.000 4.988
Sr Au Ga Ag
1 2 1 1
Direct
0.500 0.500 0.500
0.000 0.500 0.000
0.500 0.000 0.000
0.000 0.000 0.000
0.000 0.000 0.500
```

Values from the calculation:
- density (g cm⁻³) = 8.818
- relative energy among the computed polymorphs (eV/atom) = 0.141
- energy (eV for the cell shown) = -15.71
- total magnetic moment (Bohr magnetons per cell) = 0.00
- calculated formation energy (eV/atom) = -0.320
- crystal system = tetragonal
- Fermi-level density of states (states/eV/f.u.) = 2.136

=====

[8]
First-principles (PBE-GGA) data for SrGa2AgAu2 after structural relaxation, as listed in Alexandria via LeMat-Bulk.

Geometry as POSCAR:
```
SrGa2AgAu2
1.0
-0.325 3.871 2.426
-2.666 -0.633 -3.671
-4.981 -3.009 4.136
Sr Ga Ag Au
1 2 1 2
Direct
0.000 0.000 0.000
0.667 0.333 0.690
0.333 0.667 0.310
0.000 0.000 0.500
0.667 0.333 0.298
0.333 0.667 0.702
```

Values from the calculation:
- density (g cm⁻³) = 9.331
- energy (eV for the cell shown) = -19.93
- total magnetic moment (Bohr magnetons per cell) = 0.00
- calculated formation energy (eV/atom) = -0.465
- crystal system = trigonal
- Fermi-level density of states (states/eV/f.u.) = 1.866

=====

[9]
First-principles (PBE-GGA) data for SrGaAg2Au after structural relaxation, as listed in Alexandria via LeMat-Bulk.

Geometry as POSCAR:
```
SrGaAg2Au
1.0
-4.213 -2.390 1.256
-1.037 -0.718 -4.842
2.478 -4.311 0.109
Sr Au Ga Ag
1 1 1 2
Direct
0.500 0.500 0.500
0.000 0.000 0.500
0.000 0.000 0.000
0.000 0.500 0.000
0.500 0.000 0.000
```

Values from the calculation:
- density (g cm⁻³) = 7.600
- energy (eV for the cell shown) = -14.76
- total magnetic moment (Bohr magnetons per cell) = 0.00
- calculated formation energy (eV/atom) = -0.214
- crystal system = tetragonal
- Fermi-level density of states (states/eV/f.u.) = 2.107

=====

[10]
First-principles (PBE-GGA) data for SrGa2AgAu after structural relaxation, as listed in Alexandria via LeMat-Bulk.

Geometry as POSCAR:
```
SrGa2AgAu
1.0
4.474 0.000 0.000
0.000 4.517 0.000
-2.237 -2.258 5.567
Sr Ga Ag Au
1 2 1 1
Direct
0.440 0.440 0.880
0.697 0.197 0.394
0.063 0.063 0.127
0.178 0.678 0.357
0.833 0.833 0.667
```

Values from the calculation:
- density (g cm⁻³) = 7.850
- energy (eV for the cell shown) = -16.10
- total magnetic moment (Bohr magnetons per cell) = 0.00
- calculated formation energy (eV/atom) = -0.447
- crystal system = orthorhombic
- Fermi-level density of states (states/eV/f.u.) = 1.971

=====

[11]
First-principles (PBE-GGA) data for Sr2Ga3Ag12Au after structural relaxation, as listed in Alexandria via LeMat-Bulk.

Geometry as POSCAR:
```
Sr2Ga3Ag12Au
1.0
8.166 -0.540 -0.383
3.563 7.368 -0.383
3.563 2.074 7.080
Sr Ga Ag Au
2 3 12 1
Direct
0.604 0.604 0.604
0.396 0.396 0.396
0.500 0.000 0.000
0.000 0.500 0.000
0.000 0.000 0.500
0.355 0.355 0.977
0.859 0.859 0.361
0.361 0.859 0.859
0.977 0.355 0.355
0.859 0.361 0.859
0.355 0.977 0.355
0.645 0.645 0.023
0.141 0.141 0.639
0.639 0.141 0.141
0.023 0.645 0.645
0.141 0.639 0.141
0.645 0.023 0.645
0.000 0.000 0.000
```

Values from the calculation:
- density (g cm⁻³) = 6.860
- energy (eV for the cell shown) = -46.73
- total magnetic moment (Bohr magnetons per cell) = 0.00
- calculated formation energy (eV/atom) = 0.178
- crystal system = trigonal
- Fermi-level density of states (states/eV/f.u.) = 6.962

=====

[12]
First-principles (PBE-GGA) data for SrGa2Ag2Au after structural relaxation, as listed in Alexandria via LeMat-Bulk.

Geometry as POSCAR:
```
SrGa2Ag2Au
1.0
4.992 0.000 0.000
0.000 4.992 0.000
0.000 0.000 5.984
Sr Ga Ag Au
1 2 2 1
Direct
0.000 0.000 0.500
0.500 0.000 0.000
0.000 0.500 0.000
0.500 0.500 0.738
0.500 0.500 0.262
0.000 0.000 0.000
```

Values from the calculation:
- density (g cm⁻³) = 7.124
- energy (eV for the cell shown) = -17.64
- total magnetic moment (Bohr magnetons per cell) = 0.00
- calculated formation energy (eV/atom) = -0.154
- crystal system = tetragonal
- Fermi-level density of states (states/eV/f.u.) = 2.391